No. 1
# LaSm2TmHg4, relaxed, DFT PBE
# density of states at the Fermi level	26.54	states/eV per cell
# magnetic moment	3.57	μB/cell
# energy	-71.3	eV for the cell shown
# energy of formation from the pure elements	-0.47	eV/atom
data_LaSm2TmHg4
_cell_length_a 5.3429
_cell_length_b 5.3429
_cell_length_c 26.5841
_cell_angle_alpha 90.00
_cell_angle_beta 90.00
_cell_angle_gamma 120.00
_symmetry_space_group_name_H-M 'R -3 m'
_symmetry_Int_Tables_number 166
_symmetry_space_group_name_Hall '-R 3 2"'
loop_
_atom_site_label
_atom_site_type_symbol
_atom_site_fract_x
_atom_site_fract_y
_atom_site_fract_z
_atom_site_occupancy
La1 La 0.0000 0.0000 0.0000 1
Sm1 Sm 0.0000 0.0000 0.2489 1
Tm1 Tm 0.0000 0.0000 0.5000 1
Hg1 Hg 0.0000 0.0000 0.1280 1
Hg2 Hg 0.0000 0.0000 0.3802 1

=====

No. 2
# La2SmYHg2, relaxed, DFT PBE
# density of states at the Fermi level	8.27	states/eV per cell
# magnetic moment	0.00	μB/cell
# energy	-47.4	eV for the cell shown
# energy of formation from the pure elements	-0.34	eV/atom
data_La2SmYHg2
_cell_length_a 5.269
_cell_length_b 9.709
_cell_length_c 7.161
_cell_angle_alpha 90.00
_cell_angle_beta 90.00
_cell_angle_gamma 90.00
_symmetry_space_group_name_H-M 'P m c 21'
_symmetry_Int_Tables_number 26
loop_
_symmetry_equiv_pos_as_xyz
'x,y,z'
'-x,-y,z+1/2'
'-x,y,z'
'x,-y,z+1/2'
loop_
_atom_site_label
_atom_site_type_symbol
_atom_site_fract_x
_atom_site_fract_y
_atom_site_fract_z
_atom_site_occupancy
La1 La 0.000 0.056 0.000 1
La2 La 0.500 0.173 0.310 1
Sm1 Sm 0.000 0.330 0.662 1
Y1 Y 0.500 0.448 0.972 1
Hg1 Hg 0.000 0.359 0.220 1
Hg2 Hg 0.500 0.161 0.756 1

=====

No. 3
# LaSmYHg, relaxed, DFT PBE
# density of states at the Fermi level	6.11	states/eV per cell
# magnetic moment	0.01	μB/cell
# energy	-17.3	eV for the cell shown
# energy of formation from the pure elements	-0.23	eV/atom
data_LaSmYHg
_cell_length_a 3.717
_cell_length_b 3.717
_cell_length_c 8.898
_cell_angle_alpha 90.00
_cell_angle_beta 90.00
_cell_angle_gamma 90.00
_symmetry_space_group_name_H-M 'P 4 m m'
_symmetry_Int_Tables_number 99
loop_
_symmetry_equiv_pos_as_xyz
'x,y,z'
'-y,x,z'
'-x,-y,z'
'y,-x,z'
'-x,y,z'
'y,x,z'
'x,-y,z'
'-y,-x,z'
loop_
_atom_site_label
_atom_site_type_symbol
_atom_site_fract_x
_atom_site_fract_y
_atom_site_fract_z
_atom_site_occupancy
La1 La 0.000 0.000 0.000 1
Sm1 Sm 0.500 0.500 0.714 1
Y1 Y 0.500 0.500 0.285 1
Hg1 Hg 0.000 0.000 0.491 1

=====

No. 4
# LaSmZnHg, relaxed, DFT PBE
# density of states at the Fermi level	18.29	states/eV per cell
# magnetic moment	2.96	μB/cell
# energy	-50.9	eV for the cell shown
# energy of formation from the pure elements	-0.38	eV/atom
data_LaSmZnHg
_cell_length_a 7.582
_cell_length_b 7.582
_cell_length_c 7.582
_cell_angle_alpha 90.00
_cell_angle_beta 90.00
_cell_angle_gamma 90.00
_symmetry_space_group_name_H-M 'F -4 3 m'
_symmetry_Int_Tables_number 216
_symmetry_space_group_name_Hall 'F -4 2 3'
loop_
_atom_site_label
_atom_site_type_symbol
_atom_site_fract_x
_atom_site_fract_y
_atom_site_fract_z
_atom_site_occupancy
La1 La 0.000 0.000 0.000 1
Sm1 Sm 0.000 0.000 0.500 1
Zn1 Zn 0.250 0.250 0.250 1
Hg1 Hg 0.250 0.250 0.750 1

=====

No. 5
# LaSmZnHg, relaxed, DFT PBE
# density of states at the Fermi level	4.02	states/eV per cell
# magnetic moment	0.00	μB/cell
# energy	-12.8	eV for the cell shown
# energy of formation from the pure elements	-0.41	eV/atom
data_LaSmZnHg
_cell_length_a 3.757
_cell_length_b 3.757
_cell_length_c 7.615
_cell_angle_alpha 90.00
_cell_angle_beta 90.00
_cell_angle_gamma 90.00
_symmetry_space_group_name_H-M 'P 4 m m'
_symmetry_Int_Tables_number 99
loop_
_symmetry_equiv_pos_as_xyz
'x,y,z'
'-y,x,z'
'-x,-y,z'
'y,-x,z'
'-x,y,z'
'y,x,z'
'x,-y,z'
'-y,-x,z'
loop_
_atom_site_label
_atom_site_type_symbol
_atom_site_fract_x
_atom_site_fract_y
_atom_site_fract_z
_atom_site_occupancy
La1 La 0.000 0.000 0.000 1
Sm1 Sm 0.000 0.000 0.465 1
Zn1 Zn 0.500 0.500 0.247 1
Hg1 Hg 0.500 0.500 0.717 1

=====

No. 6
# LaSn2Hg, relaxed, DFT PBE
# density of states at the Fermi level	1.92	states/eV per cell
# magnetic moment	0.00	μB/cell
# energy	-15.4	eV for the cell shown
# energy of formation from the pure elements	-0.54	eV/atom
data_LaSn2Hg
_cell_length_a 4.838
_cell_length_b 4.838
_cell_length_c 4.639
_cell_angle_alpha 90.00
_cell_angle_beta 90.00
_cell_angle_gamma 90.00
_symmetry_space_group_name_H-M 'P 4/m m m'
_symmetry_Int_Tables_number 123
_symmetry_space_group_name_Hall '-P 4 2'
loop_
_atom_site_label
_atom_site_type_symbol
_atom_site_fract_x
_atom_site_fract_y
_atom_site_fract_z
_atom_site_occupancy
La1 La 0.000 0.000 0.000 1
Sn1 Sn 0.000 0.500 0.500 1
Hg1 Hg 0.500 0.500 0.000 1

=====

No. 7
# La5Sn2Hg, relaxed, DFT PBE
# density of states at the Fermi level	29.50	states/eV per cell
# magnetic moment	2.46	μB/cell
# energy	-149.6	eV for the cell shown
# energy of formation from the pure elements	-0.56	eV/atom
data_La5Sn2Hg
_cell_length_a 8.782
_cell_length_b 8.782
_cell_length_c 13.271
_cell_angle_alpha 90.00
_cell_angle_beta 90.00
_cell_angle_gamma 90.00
_symmetry_space_group_name_H-M 'I 4/m c m'
_symmetry_Int_Tables_number 140
_symmetry_space_group_name_Hall '-I 4 2c'
loop_
_atom_site_label
_atom_site_type_symbol
_atom_site_fract_x
_atom_site_fract_y
_atom_site_fract_z
_atom_site_occupancy
La1 La 0.000 0.000 0.000 1
La2 La 0.167 0.333 0.155 1
Sn1 Sn 0.132 0.368 0.500 1
Hg1 Hg 0.000 0.000 0.250 1

=====

No. 8
# LaSnHg2, relaxed, DFT PBE
# density of states at the Fermi level	4.18	states/eV per cell
# magnetic moment	0.31	μB/cell
# energy	-8.6	eV for the cell shown
# energy of formation from the pure elements	0.23	eV/atom
data_LaSnHg2
_cell_length_a 5.3037
_cell_length_b 5.3037
_cell_length_c 5.9167
_cell_angle_alpha 90.00
_cell_angle_beta 90.00
_cell_angle_gamma 120.00
_symmetry_space_group_name_H-M 'P -6 m 2'
_symmetry_Int_Tables_number 187
_symmetry_space_group_name_Hall 'P -6 2'
loop_
_atom_site_label
_atom_site_type_symbol
_atom_site_fract_x
_atom_site_fract_y
_atom_site_fract_z
_atom_site_occupancy
La1 La 0.0000 0.0000 0.0000 1
Sn1 Sn 0.6667 0.3333 0.5000 1
Hg1 Hg 0.0000 0.0000 0.5000 1
Hg2 Hg 0.3333 0.6667 0.5000 1

=====

No. 9
# La2SnHg, relaxed, DFT PBE
# density of states at the Fermi level	10.09	states/eV per cell
# magnetic moment	0.00	μB/cell
# energy	-62.1	eV for the cell shown
# energy of formation from the pure elements	-0.34	eV/atom
data_La2SnHg
_cell_length_a 8.600
_cell_length_b 8.600
_cell_length_c 7.497
_cell_angle_alpha 90.00
_cell_angle_beta 90.00
_cell_angle_gamma 90.00
_symmetry_space_group_name_H-M 'I -4 2 d'
_symmetry_Int_Tables_number 122
_symmetry_space_group_name_Hall 'I -4 2bw'
loop_
_atom_site_label
_atom_site_type_symbol
_atom_site_fract_x
_atom_site_fract_y
_atom_site_fract_z
_atom_site_occupancy
La1 La 0.246 0.250 0.125 1
Sn1 Sn 0.000 0.000 0.500 1
Hg1 Hg 0.000 0.000 0.000 1

=====

No. 10
# La6Sn3Hg, relaxed, DFT PBE
# density of states at the Fermi level	20.50	states/eV per cell
# magnetic moment	0.00	μB/cell
# energy	-93.4	eV for the cell shown
# energy of formation from the pure elements	-0.48	eV/atom
data_La6Sn3Hg
_cell_length_a 7.884
_cell_length_b 8.865
_cell_length_c 12.577
_cell_angle_alpha 90.00
_cell_angle_beta 126.32
_cell_angle_gamma 90.00
_symmetry_space_group_name_H-M 'P 1 21/c 1'
_symmetry_Int_Tables_number 14
loop_
_symmetry_equiv_pos_as_xyz
'x,y,z'
'-x,-y,-z'
'-x,y+1/2,-z+1/2'
'x,-y+1/2,z+1/2'
loop_
_atom_site_label
_atom_site_type_symbol
_atom_site_fract_x
_atom_site_fract_y
_atom_site_fract_z
_atom_site_occupancy
La1 La 0.029 0.103 0.252 1
La2 La 0.217 0.679 0.061 1
La3 La 0.405 0.172 0.065 1
Sn1 Sn 0.000 0.000 0.000 1
Sn2 Sn 0.307 0.121 0.752 1
Hg1 Hg 0.500 0.000 0.500 1

=====

No. 11
# LaSnHg3, relaxed, DFT PBE
# density of states at the Fermi level	8.89	states/eV per cell
# magnetic moment	0.00	μB/cell
# energy	-46.2	eV for the cell shown
# energy of formation from the pure elements	-0.34	eV/atom
data_LaSnHg3
_cell_length_a 15.835
_cell_length_b 5.049
_cell_length_c 7.047
_cell_angle_alpha 90.00
_cell_angle_beta 106.38
_cell_angle_gamma 90.00
_symmetry_space_group_name_H-M 'C 1 2/m 1'
_symmetry_Int_Tables_number 12
loop_
_symmetry_equiv_pos_as_xyz
'x,y,z'
'-x,-y,-z'
'-x,y,-z'
'x,-y,z'
'x+1/2,y+1/2,z'
'-x+1/2,-y+1/2,-z'
'-x+1/2,y+1/2,-z'
'x+1/2,-y+1/2,z'
loop_
_atom_site_label
_atom_site_type_symbol
_atom_site_fract_x
_atom_site_fract_y
_atom_site_fract_z
_atom_site_occupancy
La1 La 0.123 0.000 0.467 1
Sn1 Sn 0.022 0.500 0.719 1
Hg1 Hg 0.087 0.000 0.949 1
Hg2 Hg 0.169 0.500 0.209 1
Hg3 Hg 0.218 0.500 0.759 1

=====

No. 12
# La3Sn2Hg, relaxed, DFT PBE
# density of states at the Fermi level	18.58	states/eV per cell
# magnetic moment	3.33	μB/cell
# energy	-108.3	eV for the cell shown
# energy of formation from the pure elements	-0.66	eV/atom
data_La3Sn2Hg
_cell_length_a 13.040
_cell_length_b 4.779
_cell_length_c 12.377
_cell_angle_alpha 90.00
_cell_angle_beta 90.00
_cell_angle_gamma 90.00
_symmetry_space_group_name_H-M 'P n m a'
_symmetry_Int_Tables_number 62
loop_
_symmetry_equiv_pos_as_xyz
'x,y,z'
'-x,-y,-z'
'-x+1/2,-y,z+1/2'
'x+1/2,y,-z+1/2'
'x+1/2,-y+1/2,-z+1/2'
'-x+1/2,y+1/2,z+1/2'
'-x,y+1/2,-z'
'x,-y+1/2,z'
loop_
_atom_site_label
_atom_site_type_symbol
_atom_site_fract_x
_atom_site_fract_y
_atom_site_fract_z
_atom_site_occupancy
La1 La 0.044 0.250 0.120 1
La2 La 0.129 0.750 0.567 1
La3 La 0.204 0.250 0.810 1
Sn1 Sn 0.013 0.750 0.320 1
Sn2 Sn 0.190 0.750 0.021 1
Hg1 Hg 0.147 0.250 0.349 1

=====

No. 13
# La4SnHg2, relaxed, DFT PBE
# density of states at the Fermi level	29.78	states/eV per cell
# magnetic moment	3.91	μB/cell
# energy	-81.5	eV for the cell shown
# energy of formation from the pure elements	-0.41	eV/atom
data_La4SnHg2
_cell_length_a 5.4767
_cell_length_b 5.4767
_cell_length_c 26.5212
_cell_angle_alpha 90.00
_cell_angle_beta 90.00
_cell_angle_gamma 120.00
_symmetry_space_group_name_H-M 'R -3 m'
_symmetry_Int_Tables_number 166
_symmetry_space_group_name_Hall '-R 3 2"'
loop_
_atom_site_label
_atom_site_type_symbol
_atom_site_fract_x
_atom_site_fract_y
_atom_site_fract_z
_atom_site_occupancy
La1 La 0.0000 0.0000 0.1200 1
La2 La 0.0000 0.0000 0.3723 1
Sn1 Sn 0.0000 0.0000 0.5000 1
Hg1 Hg 0.0000 0.0000 0.2510 1

=====

No. 14
# La2Sn4Hg, relaxed, DFT PBE
# density of states at the Fermi level	5.39	states/eV per cell
# magnetic moment	0.00	μB/cell
# energy	-53.8	eV for the cell shown
# energy of formation from the pure elements	-0.10	eV/atom
data_La2Sn4Hg
_cell_length_a 5.504
_cell_length_b 5.504
_cell_length_c 15.890
_cell_angle_alpha 90.00
_cell_angle_beta 90.00
_cell_angle_gamma 90.00
_symmetry_space_group_name_H-M 'I 4/m m m'
_symmetry_Int_Tables_number 139
_symmetry_space_group_name_Hall '-I 4 2'
loop_
_atom_site_label
_atom_site_type_symbol
_atom_site_fract_x
_atom_site_fract_y
_atom_site_fract_z
_atom_site_occupancy
La1 La 0.000 0.000 0.126 1
Sn1 Sn 0.000 0.000 0.327 1
Sn2 Sn 0.000 0.500 0.000 1
Hg1 Hg 0.000 0.000 0.500 1

=====

No. 15
# La2SnHg, relaxed, DFT PBE
# density of states at the Fermi level	4.08	states/eV per cell
# magnetic moment	0.00	μB/cell
# energy	-16.7	eV for the cell shown
# energy of formation from the pure elements	-0.64	eV/atom
data_La2SnHg
_cell_length_a 5.376
_cell_length_b 5.376
_cell_length_c 4.200
_cell_angle_alpha 90.00
_cell_angle_beta 90.00
_cell_angle_gamma 90.00
_symmetry_space_group_name_H-M 'P 4/m m m'
_symmetry_Int_Tables_number 123
_symmetry_space_group_name_Hall '-P 4 2'
loop_
_atom_site_label
_atom_site_type_symbol
_atom_site_fract_x
_atom_site_fract_y
_atom_site_fract_z
_atom_site_occupancy
La1 La 0.000 0.500 0.000 1
Sn1 Sn 0.000 0.000 0.500 1
Hg1 Hg 0.500 0.500 0.500 1

=====

No. 16
# La3Sn2Hg, relaxed, DFT PBE
# density of states at the Fermi level	17.06	states/eV per cell
# magnetic moment	0.00	μB/cell
# energy	-107.1	eV for the cell shown
# energy of formation from the pure elements	-0.62	eV/atom
data_La3Sn2Hg
_cell_length_a 17.237
_cell_length_b 6.662
_cell_length_c 6.466
_cell_angle_alpha 90.00
_cell_angle_beta 103.81
_cell_angle_gamma 90.00
_symmetry_space_group_name_H-M 'C 1 2/c 1'
_symmetry_Int_Tables_number 15
loop_
_symmetry_equiv_pos_as_xyz
'x,y,z'
'-x,-y,-z'
'-x,y,-z+1/2'
'x,-y,z+1/2'
'x+1/2,y+1/2,z'
'-x+1/2,-y+1/2,-z'
'-x+1/2,y+1/2,-z+1/2'
'x+1/2,-y+1/2,z+1/2'
loop_
_atom_site_label
_atom_site_type_symbol
_atom_site_fract_x
_atom_site_fract_y
_atom_site_fract_z
_atom_site_occupancy
La1 La 0.000 0.151 0.250 1
La2 La 0.172 0.388 0.600 1
Sn1 Sn 0.158 0.106 0.048 1
Hg1 Hg 0.000 0.363 0.750 1

=====

No. 17
# La5Sn3Hg, relaxed, DFT PBE
# density of states at the Fermi level	19.43	states/eV per cell
# magnetic moment	3.35	μB/cell
# energy	-86.6	eV for the cell shown
# energy of formation from the pure elements	-0.71	eV/atom
data_La5Sn3Hg
_cell_length_a 9.7981
_cell_length_b 9.7981
_cell_length_c 6.8837
_cell_angle_alpha 90.00
_cell_angle_beta 90.00
_cell_angle_gamma 120.00
_symmetry_space_group_name_H-M 'P 63/m c m'
_symmetry_Int_Tables_number 193
_symmetry_space_group_name_Hall '-P 6c 2'
loop_
_atom_site_label
_atom_site_type_symbol
_atom_site_fract_x
_atom_site_fract_y
_atom_site_fract_z
_atom_site_occupancy
La1 La 0.0000 0.2871 0.2500 1
La2 La 0.3333 0.6667 0.0000 1
Sn1 Sn 0.0000 0.3708 0.7500 1
Hg1 Hg 0.0000 0.0000 0.0000 1

=====

No. 18
# La3Sn2Hg4, relaxed, DFT PBE
# density of states at the Fermi level	6.49	states/eV per cell
# magnetic moment	0.00	μB/cell
# energy	-58.5	eV for the cell shown
# energy of formation from the pure elements	-0.59	eV/atom
data_La3Sn2Hg4
_cell_length_a 12.073
_cell_length_b 4.777
_cell_length_c 9.566
_cell_angle_alpha 90.00
_cell_angle_beta 110.55
_cell_angle_gamma 90.00
_symmetry_space_group_name_H-M 'C 1 2/m 1'
_symmetry_Int_Tables_number 12
loop_
_symmetry_equiv_pos_as_xyz
'x,y,z'
'-x,-y,-z'
'-x,y,-z'
'x,-y,z'
'x+1/2,y+1/2,z'
'-x+1/2,-y+1/2,-z'
'-x+1/2,y+1/2,-z'
'x+1/2,-y+1/2,z'
loop_
_atom_site_label
_atom_site_type_symbol
_atom_site_fract_x
_atom_site_fract_y
_atom_site_fract_z
_atom_site_occupancy
La1 La 0.000 0.000 0.000 1
La2 La 0.174 0.500 0.646 1
Sn1 Sn 0.116 0.500 0.276 1
Hg1 Hg 0.010 0.000 0.352 1
Hg2 Hg 0.238 0.000 0.912 1

=====

No. 19
# La9Sn2Hg, relaxed, DFT PBE
# density of states at the Fermi level	16.58	states/eV per cell
# magnetic moment	0.00	μB/cell
# energy	-57.4	eV for the cell shown
# energy of formation from the pure elements	-0.40	eV/atom
data_La9Sn2Hg
_cell_length_a 5.038
_cell_length_b 5.038
_cell_length_c 15.020
_cell_angle_alpha 90.00
_cell_angle_beta 90.00
_cell_angle_gamma 90.00
_symmetry_space_group_name_H-M 'P 4/m m m'
_symmetry_Int_Tables_number 123
_symmetry_space_group_name_Hall '-P 4 2'
loop_
_atom_site_label
_atom_site_type_symbol
_atom_site_fract_x
_atom_site_fract_y
_atom_site_fract_z
_atom_site_occupancy
La1 La 0.000 0.000 0.000 1
La2 La 0.000 0.000 0.332 1
La3 La 0.000 0.500 0.168 1
La4 La 0.000 0.500 0.500 1
Sn1 Sn 0.500 0.500 0.332 1
Hg1 Hg 0.500 0.500 0.000 1

=====

No. 20
# LaSnHg3, relaxed, DFT PBE
# density of states at the Fermi level	3.54	states/eV per cell
# magnetic moment	0.00	μB/cell
# energy	-9.2	eV for the cell shown
# energy of formation from the pure elements	0.13	eV/atom
data_LaSnHg3
_cell_length_a 5.406
_cell_length_b 5.406
_cell_length_c 5.406
_cell_angle_alpha 90.00
_cell_angle_beta 90.00
_cell_angle_gamma 90.00
_symmetry_space_group_name_H-M 'P m -3 m'
_symmetry_Int_Tables_number 221
_symmetry_space_group_name_Hall '-P 4 2 3'
loop_
_atom_site_label
_atom_site_type_symbol
_atom_site_fract_x
_atom_site_fract_y
_atom_site_fract_z
_atom_site_occupancy
La1 La 0.000 0.000 0.000 1
Sn1 Sn 0.500 0.500 0.500 1
Hg1 Hg 0.000 0.500 0.500 1